## 1
ZnAs2O4: relaxed, PBE.

Cell lengths 8.5599, 8.5599, 5.8030 Å; angles 90.00, 90.00, 90.00 degrees
Space group P4_2/mbc (No. 135)
Unique sites:
Zn  0.0000  0.5000  0.2500 [4 per cell]
As  0.1703  0.1935  0.0000 [8 per cell]
O  0.1023  0.3640  0.5000 [8 per cell]
O  0.1885  0.6885  0.2500 [8 per cell]

Values from the calculation:
**Magnetization**: 0.00 μB per cell


## 2
ZnAs2O4: relaxed, PBE.

Cell lengths 4.6502, 5.1214, 18.5535 Å; angles 90.00, 90.08, 90.00 degrees
Space group P2_1/c (No. 14)
Unique sites:
Zn  0.2461  0.0113  0.2479 [4 per cell]
As  0.0170  0.7241  0.0978 [4 per cell]
As  0.4858  0.7110  0.9001 [4 per cell]
O  0.0043  0.2389  0.8058 [4 per cell]
O  0.1057  0.6182  0.9063 [4 per cell]
O  0.3962  0.6310  0.0889 [4 per cell]
O  0.4977  0.2334  0.6962 [4 per cell]

Values from the calculation:
**Magnetization**: 0.00 μB per cell


The structure with the greatest stability is 2.